Material: Y2NiRuO6
Method: DFT, GGA+U
State: relaxed

Cell: 5.3060 5.7452 9.3200 Å, 90.00 124.62 90.00°
Closest atoms and distances in Å follow each position.
Space group P2_1/c (No. 14)
Asymmetric unit:
Y  0.2265  0.0765  0.2513 x4  6 O 2.25-2.51
Ni  0.5000  0.0000  0.0000 x2  6 O 2.07-2.09
Ru  0.0000  0.0000  0.5000 x2  6 O 2.01-2.04
O  0.1192  0.1973  0.9377 x4  1 Ru 2.04, 1 Ni 2.09
O  0.2522  0.6902  0.9416 x4  1 Ru 2.03, 1 Ni 2.09
O  0.3679  0.0454  0.7462 x4  1 Ru 2.01, 1 Ni 2.07, 1 Y 2.25

E   -154.09 eV per cell